(i)
Computed, not measured: crystalline BaMnB2 at its relaxed geometry at the GGA-PBE level of DFT.

Calculated values
magnetization = 0.2 Bohr magnetons per cell
ρ = 4.6 g/cm3
crystal system = tetragonal

Unit cell a=6.475 b=6.475 c=6.475 alpha=130.11 beta=130.11 gamma=73.23
Positions (direct):
Ba  0.375  0.625  0.750
Ba  0.625  0.375  0.250
Mn  0.125  0.875  0.250
Mn  0.875  0.125  0.750
B  0.000  0.000  0.000
B  0.000  0.000  0.500
B  0.000  0.500  0.000
B  0.500  0.000  0.500

---

(ii)
Computed, not measured: crystalline BaMnB2 at its relaxed geometry at the GGA-PBE level of DFT.

Calculated values
magnetization = 0.5 Bohr magnetons per cell
ρ = 5.5 g/cm3
crystal system = cubic

Unit cell a=4.509 b=4.509 c=4.509 alpha=60.00 beta=60.00 gamma=60.00
Positions (direct):
Ba  0.000  0.000  0.000
Mn  0.500  0.500  0.500
B  0.250  0.250  0.250
B  0.750  0.750  0.750

---

Most stable to least stable, the ends of the list are (i) and (ii).

---

(i)
Computed, not measured: crystalline BaBMo3 at its relaxed geometry at the GGA-PBE level of DFT.

Calculated values
magnetization = 3.7 Bohr magnetons per cell
ρ = 5.8 g/cm3
crystal system = cubic

Unit cell a=5.005 b=5.005 c=5.005 alpha=90.00 beta=90.00 gamma=90.00
Positions (direct):
Ba  0.000  0.000  0.000
B  0.500  0.500  0.500
Mo  0.000  0.000  0.500
Mo  0.000  0.500  0.000
Mo  0.500  0.000  0.000

---

(ii)
Computed, not measured: crystalline BaBMo3 at its relaxed geometry at the GGA-PBE level of DFT.

Calculated values
magnetization = 0.0 Bohr magnetons per cell
ρ = 8.0 g/cm3
crystal system = cubic

Unit cell a=4.489 b=4.489 c=4.489 alpha=90.00 beta=90.00 gamma=90.00
Positions (direct):
Ba  0.000  0.000  0.000
B  0.500  0.500  0.500
Mo  0.000  0.500  0.500
Mo  0.500  0.000  0.500
Mo  0.500  0.500  0.000

---

Most stable to least stable, the ends of the list are (ii) and (i).

---

(i)
Computed, not measured: crystalline BaB3Mo at its relaxed geometry at the GGA-PBE level of DFT.

Calculated values
magnetization = 0.0 Bohr magnetons per cell
ρ = 4.9 g/cm3
crystal system = cubic

Unit cell a=4.474 b=4.474 c=4.474 alpha=90.00 beta=90.00 gamma=90.00
Positions (direct):
Ba  0.000  0.000  0.000
B  0.000  0.000  0.500
B  0.000  0.500  0.000
B  0.500  0.000  0.000
Mo  0.500  0.500  0.500

---

(ii)
Computed, not measured: crystalline BaB3Mo at its relaxed geometry at the GGA-PBE level of DFT.

Calculated values
magnetization = 0.0 Bohr magnetons per cell
ρ = 5.2 g/cm3
crystal system = cubic

Unit cell a=4.384 b=4.384 c=4.384 alpha=90.00 beta=90.00 gamma=90.00
Positions (direct):
Ba  0.000  0.000  0.000
B  0.000  0.500  0.500
B  0.500  0.000  0.500
B  0.500  0.500  0.000
Mo  0.500  0.500  0.500

---

Most stable to least stable, the ends of the list are (ii) and (i).

---

(i)
Computed, not measured: crystalline Ba2BN at its relaxed geometry at the GGA-PBE level of DFT.

Calculated values
magnetization = 2.6 Bohr magnetons per cell
ρ = 4.2 g/cm3
crystal system = tetragonal

Unit cell a=6.810 b=6.810 c=6.810 alpha=114.13 beta=114.13 gamma=100.50
Positions (direct):
Ba  0.073  0.625  0.948
Ba  0.375  0.323  0.448
Ba  0.677  0.125  0.052
Ba  0.875  0.927  0.552
B  0.250  0.750  0.500
B  0.500  0.500  0.000
N  0.000  0.000  0.000
N  0.750  0.250  0.500

---

(ii)
Computed, not measured: crystalline Ba2BN at its relaxed geometry at the GGA-PBE level of DFT.

Calculated values
magnetization = 1.8 Bohr magnetons per cell
ρ = 5.3 g/cm3
crystal system = cubic

Unit cell a=5.097 b=5.097 c=5.097 alpha=60.00 beta=60.00 gamma=60.00
Positions (direct):
Ba  0.250  0.250  0.250
Ba  0.750  0.750  0.750
B  0.000  0.000  0.000
N  0.500  0.500  0.500

---

Most stable to least stable, the ends of the list are (i) and (ii).

---

(i)
Computed, not measured: crystalline BaBSN2 at its relaxed geometry at the GGA-PBE level of DFT.

Calculated values
magnetization = 2.9 Bohr magnetons per cell
ρ = 4.8 g/cm3
crystal system = tetragonal

Unit cell a=4.145 b=4.145 c=4.226 alpha=90.00 beta=90.00 gamma=90.00
Positions (direct):
Ba  0.000  0.000  0.000
B  0.500  0.500  0.500
S  0.500  0.500  0.000
N  0.000  0.500  0.500
N  0.500  0.000  0.500

---

(ii)
Computed, not measured: crystalline BaBSN2 at its relaxed geometry at the GGA-PBE level of DFT.

Calculated values
magnetization = 5.0 Bohr magnetons per cell
ρ = 2.0 g/cm3
crystal system = tetragonal

Unit cell a=5.254 b=5.254 c=6.167 alpha=90.00 beta=90.00 gamma=90.00
Positions (direct):
Ba  0.000  0.000  0.000
B  0.500  0.500  0.500
S  0.000  0.000  0.500
N  0.000  0.500  0.000
N  0.500  0.000  0.000

---

Most stable to least stable, the ends of the list are (i) and (ii).

---

(i)
Computed, not measured: crystalline BaBSe2N at its relaxed geometry at the GGA-PBE level of DFT.

Calculated values
magnetization = 0.7 Bohr magnetons per cell
ρ = 5.1 g/cm3
crystal system = tetragonal

Unit cell a=6.100 b=6.100 c=2.811 alpha=90.00 beta=90.00 gamma=90.00
Positions (direct):
Ba  0.000  0.000  0.000
B  0.500  0.500  0.500
Se  0.000  0.500  0.500
Se  0.500  0.000  0.500
N  0.500  0.500  0.000

---

(ii)
Computed, not measured: crystalline BaBSe2N at its relaxed geometry at the GGA-PBE level of DFT.

Calculated values
magnetization = 4.0 Bohr magnetons per cell
ρ = 2.6 g/cm3
crystal system = tetragonal

Unit cell a=6.240 b=6.240 c=5.265 alpha=90.00 beta=90.00 gamma=90.00
Positions (direct):
Ba  0.000  0.000  0.000
B  0.500  0.500  0.500
Se  0.000  0.500  0.000
Se  0.500  0.000  0.000
N  0.000  0.000  0.500

---

Most stable to least stable, the ends of the list are (i) and (ii).

---

(i)
Computed, not measured: crystalline BaBTeN2 at its relaxed geometry at the GGA-PBE level of DFT.

Calculated values
magnetization = 2.8 Bohr magnetons per cell
ρ = 5.5 g/cm3
crystal system = tetragonal

Unit cell a=4.473 b=4.473 c=4.591 alpha=90.00 beta=90.00 gamma=90.00
Positions (direct):
Ba  0.000  0.000  0.000
B  0.500  0.500  0.500
Te  0.500  0.500  0.000
N  0.000  0.500  0.500
N  0.500  0.000  0.500

---

(ii)
Computed, not measured: crystalline BaBTeN2 at its relaxed geometry at the GGA-PBE level of DFT.

Calculated values
magnetization = 2.8 Bohr magnetons per cell
ρ = 3.3 g/cm3
crystal system = tetragonal

Unit cell a=4.586 b=4.586 c=7.322 alpha=90.00 beta=90.00 gamma=90.00
Positions (direct):
Ba  0.000  0.000  0.000
B  0.500  0.500  0.500
Te  0.000  0.000  0.500
N  0.000  0.500  0.000
N  0.500  0.000  0.000

---

Most stable to least stable, the ends of the list are (i) and (ii).

---

(i)
Computed, not measured: crystalline BaNa3B at its relaxed geometry at the GGA-PBE level of DFT.

Calculated values
magnetization = 0.0 Bohr magnetons per cell
ρ = 1.0 g/cm3
crystal system = cubic

Unit cell a=7.118 b=7.118 c=7.118 alpha=90.00 beta=90.00 gamma=90.00
Positions (direct):
Ba  0.000  0.000  0.000
Na  0.000  0.000  0.500
Na  0.000  0.500  0.000
Na  0.500  0.000  0.000
B  0.500  0.500  0.500

---

(ii)
Computed, not measured: crystalline BaNa3B at its relaxed geometry at the GGA-PBE level of DFT.

Calculated values
magnetization = 0.0 Bohr magnetons per cell
ρ = 2.3 g/cm3
crystal system = cubic

Unit cell a=5.415 b=5.415 c=5.415 alpha=90.00 beta=90.00 gamma=90.00
Positions (direct):
Ba  0.000  0.000  0.000
Na  0.000  0.500  0.500
Na  0.500  0.000  0.500
Na  0.500  0.500  0.000
B  0.500  0.500  0.500

---

Most stable to least stable, the ends of the list are (ii) and (i).

---

(i)
Computed, not measured: crystalline BaNaBO3 at its relaxed geometry at the GGA-PBE level of DFT.

Calculated values
magnetization = 0.0 Bohr magnetons per cell
ρ = 4.3 g/cm3
crystal system = hexagonal

Unit cell a=5.657 b=5.657 c=6.082 alpha=90.00 beta=90.00 gamma=120.00
Positions (direct):
Ba  0.333  0.667  0.250
Ba  0.667  0.333  0.750
Na  0.000  0.000  0.000
Na  0.000  0.000  0.500
B  0.333  0.667  0.750
B  0.667  0.333  0.250
O  0.191  0.383  0.750
O  0.191  0.809  0.750
O  0.383  0.191  0.250
O  0.617  0.809  0.750
O  0.809  0.191  0.250
O  0.809  0.617  0.250

---

(ii)
Computed, not measured: crystalline BaNaBO3 at its relaxed geometry at the GGA-PBE level of DFT.

Calculated values
magnetization = 0.0 Bohr magnetons per cell
ρ = 4.3 g/cm3
crystal system = monoclinic

Unit cell a=5.605 b=5.605 c=6.268 alpha=97.81 beta=97.81 gamma=60.30
Positions (direct):
Ba  0.168  0.168  0.242
Ba  0.832  0.832  0.758
Na  0.500  0.500  0.000
Na  0.500  0.500  0.500
B  0.166  0.166  0.751
B  0.834  0.834  0.249
O  0.112  0.685  0.210
O  0.295  0.295  0.678
O  0.315  0.888  0.790
O  0.685  0.112  0.210
O  0.705  0.705  0.322
O  0.888  0.315  0.790

---

Most stable to least stable, the ends of the list are (ii) and (i).

---

(i)
Computed, not measured: crystalline BaNbB3 at its relaxed geometry at the GGA-PBE level of DFT.

Calculated values
magnetization = 0.0 Bohr magnetons per cell
ρ = 4.8 g/cm3
crystal system = cubic

Unit cell a=4.494 b=4.494 c=4.494 alpha=90.00 beta=90.00 gamma=90.00
Positions (direct):
Ba  0.000  0.000  0.000
Nb  0.500  0.500  0.500
B  0.000  0.000  0.500
B  0.000  0.500  0.000
B  0.500  0.000  0.000

---

(ii)
Computed, not measured: crystalline BaNbB3 at its relaxed geometry at the GGA-PBE level of DFT.

Calculated values
magnetization = 0.0 Bohr magnetons per cell
ρ = 4.8 g/cm3
crystal system = cubic

Unit cell a=4.498 b=4.498 c=4.498 alpha=90.00 beta=90.00 gamma=90.00
Positions (direct):
Ba  0.000  0.000  0.000
Nb  0.500  0.500  0.500
B  0.000  0.500  0.500
B  0.500  0.000  0.500
B  0.500  0.500  0.000

---

Most stable to least stable, the ends of the list are (ii) and (i).

---

(i)
Computed, not measured: crystalline Ba2Nb2B at its relaxed geometry at the GGA-PBE level of DFT.

Calculated values
magnetization = 0.0 Bohr magnetons per cell
ρ = 6.5 g/cm3
crystal system = tetragonal

Unit cell a=6.357 b=6.357 c=5.934 alpha=90.00 beta=90.00 gamma=90.00
Positions (direct):
Ba  0.181  0.319  0.000
Ba  0.319  0.819  0.000
Ba  0.681  0.181  0.000
Ba  0.819  0.681  0.000
Nb  0.158  0.658  0.500
Nb  0.342  0.158  0.500
Nb  0.658  0.842  0.500
Nb  0.842  0.342  0.500
B  0.000  0.000  0.500
B  0.500  0.500  0.500

---

(ii)
Computed, not measured: crystalline Ba2Nb2B at its relaxed geometry at the GGA-PBE level of DFT.

Calculated values
magnetization = 0.0 Bohr magnetons per cell
ρ = 5.2 g/cm3
crystal system = tetragonal

Unit cell a=5.788 b=5.788 c=5.788 alpha=110.32 beta=110.32 gamma=107.78
Positions (direct):
Ba  0.250  0.750  0.500
Ba  0.750  0.250  0.500
Nb  0.164  0.164  0.000
Nb  0.836  0.836  0.000
B  0.500  0.500  0.000

---

Most stable to least stable, the ends of the list are (i) and (ii).